[1]
# KCaHg2 | Alexandria | GGA-PBE | relaxed
# Magnetic moment: 0.0 Bohr magnetons per cell
# Density of states at the Fermi level: 0.73 states/eV per atom
# Energy of formation from the pure elements: -0.24 eV per atom
# Energy: -4.66 eV for the cell shown
# Theoretical density: 6.34 g cm⁻³
data_KCaHg2
_chemical_formula_sum 'K1 Ca1 Hg2'
_space_group_name_H-M_alt 'P 1'
_space_group_IT_number 1
_space_group_name_Hall 'P 1'
_cell_length_a 6.7396
_cell_length_b 6.7396
_cell_length_c 6.7396
_cell_angle_alpha 146.15
_cell_angle_beta 131.90
_cell_angle_gamma 60.12
loop_
_atom_site_label
_atom_site_fract_x
_atom_site_fract_y
_atom_site_fract_z
K1 0.0000 0.0000 0.0000
Ca1 0.2925 0.7925 0.5000
Hg1 0.5250 0.5250 0.0000
Hg2 0.7377 0.2377 0.5000


[2]
# Nb2TlRu | Alexandria | GGA-PBE | relaxed
# Magnetic moment: 0.0 Bohr magnetons per cell
# Density of states at the Fermi level: 0.96 states/eV per atom
# Energy of formation from the pure elements: 0.44 eV per atom
# Energy: -30.02 eV for the cell shown
# Theoretical density: 10.37 g cm⁻³
data_Nb2TlRu
_chemical_formula_sum 'Nb2 Tl1 Ru1'
_space_group_name_H-M_alt 'P 1'
_space_group_IT_number 1
_space_group_name_Hall 'P 1'
_cell_length_a 10.4362
_cell_length_b 10.4362
_cell_length_c 10.4362
_cell_angle_alpha 16.36
_cell_angle_beta 16.36
_cell_angle_gamma 16.36
loop_
_atom_site_label
_atom_site_fract_x
_atom_site_fract_y
_atom_site_fract_z
Nb1 0.0966 0.0966 0.0966
Nb2 0.9034 0.9034 0.9034
Tl1 0.0000 0.0000 0.0000
Ru1 0.5000 0.5000 0.5000